[1]
PaI4Cl after structural relaxation, computed with PBE-GGA.

Cell lengths 5.415, 8.188, 8.188 Å; angles 83.72, 70.69, 70.69 degrees
Sites, in units of the cell vectors:
I: 0.873 0.326 0.814
I: 0.198 0.814 0.674
I: 0.686 0.186 0.326
I: 0.012 0.674 0.186
Cl: 0.443 0.000 0.000
Pa: 0.943 0.000 0.000

Computed properties:
Symmetry: No. 87
Energy relative to the elements, uncorrected in meV/atom: -1080
Electronic total energy in eV/atom: -4.004

[2]
YTiGa2 after structural relaxation, computed with PBE-GGA.

Cell lengths 3.462, 3.462, 6.467 Å; angles 90.00, 90.00, 90.00 degrees
Each line ends with the local moment (μB).
Sites, in units of the cell vectors:
Ti: 0.500 0.500 0.000  0.66
Ga: 0.000 0.000 0.208  0.01
Ga: 0.000 0.000 0.792  0.01
Y: 0.500 0.500 0.500  -0.01

Computed properties:
Symmetry: No. 123
Energy of formation in eV per atom: -0.44
Energy above the most stable polymorph in this dataset in meV/atom: 0
Electronic total energy in eV/atom: -5.542

[3]
CuOsW3 after structural relaxation, computed with PBE-GGA.

Cell lengths 4.429, 4.429, 4.429 Å; angles 90.00, 90.00, 90.00 degrees
Sites, in units of the cell vectors:
W: 0.000 0.500 0.000
W: 0.000 0.000 0.500
W: 0.500 0.000 0.000
Cu: 0.000 0.000 0.000
Os: 0.500 0.500 0.500

Computed properties:
Symmetry: No. 221
Energy of formation in eV per atom: 1.97
Energy above the most stable polymorph in this dataset in meV/atom: 0
Electronic total energy in eV/atom: -8.863

[4]
SiSe5 after structural relaxation, computed with PBE-GGA.

Cell lengths 5.667, 5.667, 5.667 Å; angles 60.00, 60.00, 60.00 degrees
Sites, in units of the cell vectors:
Se: 0.625 0.126 0.625
Se: 0.126 0.625 0.625
Se: 0.250 0.250 0.250
Se: 0.625 0.625 0.625
Se: 0.625 0.625 0.126
Si: 0.000 0.000 0.000

Computed properties:
Symmetry: No. 216
Energy above the most stable polymorph in this dataset in meV/atom: 867
Energy relative to the elements, uncorrected in meV/atom: 820
Electronic total energy in eV/atom: -2.987

[5]
Tm3U2Mn4 after structural relaxation, computed with PBE-GGA.

Cell lengths 3.997, 5.713, 8.377 Å; angles 102.28, 90.00, 110.47 degrees
Sites, in units of the cell vectors:
Mn: 0.263 0.526 0.907
Mn: 0.090 0.180 0.641
Mn: 0.737 0.474 0.093
Mn: 0.910 0.820 0.359
U: 0.676 0.351 0.775
U: 0.324 0.649 0.225
Tm: 0.375 0.750 0.621
Tm: 0.625 0.250 0.379
Tm: 0.000 0.000 0.000

Computed properties:
Symmetry: No. 12
Energy of formation in eV per atom: -0.07
Electronic total energy in eV/atom: -8.142

[6]
HoLuHgPt after structural relaxation, computed with PBE-GGA.

Cell lengths 5.031, 5.031, 5.031 Å; angles 60.00, 60.00, 60.00 degrees
Sites, in units of the cell vectors:
Hg: 0.250 0.250 0.250
Ho: 0.000 0.000 0.000
Lu: 0.500 0.500 0.500
Pt: 0.750 0.750 0.750

Computed properties:
Symmetry: No. 216
Energy of formation in eV per atom: -0.85
Electronic total energy in eV/atom: -4.709

[7]
Pa2BiPt2 after structural relaxation, computed with PBE-GGA.

Cell lengths 3.820, 7.801, 7.801 Å; angles 90.00, 90.00, 90.00 degrees
Sites, in units of the cell vectors:
Bi: 0.000 0.500 0.500
Bi: 0.000 0.000 0.000
Pa: 0.500 0.171 0.671
Pa: 0.500 0.329 0.171
Pa: 0.500 0.671 0.829
Pa: 0.500 0.829 0.329
Pt: 0.000 0.372 0.872
Pt: 0.000 0.128 0.372
Pt: 0.000 0.872 0.628
Pt: 0.000 0.628 0.128

Computed properties:
Symmetry: No. 127
Energy of formation in eV per atom: -0.79
Electronic total energy in eV/atom: -7.784

[8]
K6SiP2 after structural relaxation, computed with PBE-GGA.

Cell lengths 8.419, 9.762, 10.433 Å; angles 90.00, 90.00, 115.54 degrees
Each line ends with the local moment (μB).
Sites, in units of the cell vectors:
P: 0.032 0.064 0.820  0.28
P: 0.968 0.936 0.320  0.28
P: 0.576 0.153 0.652  0.38
P: 0.424 0.847 0.152  0.38
K: 0.171 0.900 0.593  0.01
K: 0.071 0.642 0.300  0.02
K: 0.829 0.100 0.093  0.01
K: 0.438 0.876 0.856  0.02
K: 0.729 0.900 0.593  0.01
K: 0.562 0.124 0.356  0.02
K: 0.929 0.358 0.800  0.02
K: 0.884 0.768 0.006  0.01
K: 0.116 0.232 0.506  0.01
K: 0.271 0.100 0.093  0.01
K: 0.571 0.642 0.300  0.02
K: 0.429 0.358 0.800  0.02
Si: 0.301 0.602 0.599  0.55
Si: 0.699 0.398 0.099  0.55

Computed properties:
Symmetry: No. 36
Energy relative to the elements, uncorrected in meV/atom: 148
Electronic total energy in eV/atom: -2.388

[9]
Sm8In after structural relaxation, computed with PBE-GGA.

Cell lengths 4.993, 8.034, 8.034 Å; angles 84.46, 71.90, 71.90 degrees
Sites, in units of the cell vectors:
Sm: 0.661 0.678 0.000
Sm: 0.000 0.666 0.334
Sm: 0.339 0.322 0.000
Sm: 0.661 0.000 0.678
Sm: 0.666 0.334 0.334
Sm: 0.000 0.334 0.666
Sm: 0.339 0.000 0.322
Sm: 0.334 0.666 0.666
In: 0.000 0.000 0.000

Computed properties:
Symmetry: No. 139
Energy of formation in eV per atom: -0.07
Electronic total energy in eV/atom: -4.570

[10]
Nd4AuS2Cl after structural relaxation, computed with PBE-GGA.

Cell lengths 4.066, 7.320, 7.181 Å; angles 71.46, 90.00, 90.00 degrees
Sites, in units of the cell vectors:
S: 0.500 0.000 0.500
S: 0.000 0.000 0.000
Nd: 0.000 0.773 0.738
Nd: 0.500 0.236 0.754
Nd: 0.500 0.764 0.246
Nd: 0.000 0.227 0.262
Au: 0.000 0.500 0.500
Cl: 0.500 0.500 0.000

Computed properties:
Symmetry: No. 10
Energy relative to the elements, uncorrected in meV/atom: -1559
Electronic total energy in eV/atom: -5.615

[11]
Er2AgTe3 after structural relaxation, computed with PBE-GGA.

Cell lengths 4.375, 6.070, 7.806 Å; angles 112.88, 90.00, 90.00 degrees
Sites, in units of the cell vectors:
Ag: 0.000 0.000 0.000
Er: 0.500 0.355 0.709
Er: 0.500 0.645 0.291
Te: 0.500 0.148 0.296
Te: 0.000 0.500 0.000
Te: 0.500 0.852 0.704

Computed properties:
Symmetry: No. 65
Energy relative to the elements, uncorrected in meV/atom: -791
Electronic total energy in eV/atom: -4.358